DFT (PBE-GGA) results for Cs3Tb2CeSe6 after structural relaxation.

Results
VASP energy: -59.1 eV for the cell shown
total moment: 1.0 Bohr magnetons per cell
ΔE_f (raw): -1.71 eV per atom
space group: C2/m (12)
V: 34.166 A^3/atom

Lattice parameters (Å, degrees): 7.5188 7.5188 8.7415 98.24 98.24 120.00
Sites, in units of the cell vectors:
Cs (0.0000, 0.0000, 0.0000)
Cs (0.3344, 0.6656, 0.0000)
Cs (0.6656, 0.3344, 0.0000)
Tb (0.1667, 0.8333, 0.5000)
Tb (0.8333, 0.1667, 0.5000)
Ce (0.5000, 0.5000, 0.5000)
Se (0.0970, 0.4377, 0.3131)
Se (0.2215, 0.2215, 0.6865)
Se (0.4377, 0.0970, 0.3131)
Se (0.5623, 0.9030, 0.6869)
Se (0.7785, 0.7785, 0.3135)
Se (0.9030, 0.5623, 0.6869)